Record 1
A geometry-optimized Ce2ErGa3Ir4 structure, computed with GGA-PBE.

a = 4.209 Å, b = 4.209 Å, c = 11.210 Å
α = 90.00°, β = 90.00°, γ = 90.00°
Site moments in Bohr magnetons follow the coordinates.
Atoms (fractional coordinates):
1 Ce 0.500 0.000 0.223  0.58
2 Ce 0.000 0.500 0.777  0.58
3 Er 0.500 0.500 0.500  0.04
4 Ga 0.000 0.000 0.500  0.02
5 Ga 0.500 0.000 0.880  0.01
6 Ga 0.000 0.500 0.120  0.01
7 Ir 0.500 0.500 0.000  -0.01
8 Ir 0.000 0.000 0.000  -0.01
9 Ir 0.500 0.000 0.657  0.00
10 Ir 0.000 0.500 0.343  0.00

Results
Space-group type   P-4m2 (115)
DFT formation energy   -674 kJ/mol of formula units
VASP energy   -6.794 eV/atom
Fermi-level density of states   14.30 states/eV/f.u.


Record 2
A geometry-optimized Tb2Y12Sc5 structure, computed with GGA-PBE.

a = 8.744 Å, b = 9.099 Å, c = 8.407 Å
α = 90.88°, β = 90.00°, γ = 118.72°
Atoms (fractional coordinates):
1 Tb 0.786 0.000 0.000
2 Tb 0.214 0.000 0.000
3 Y 0.833 0.666 0.130
4 Y 0.016 0.626 0.776
5 Y 0.610 0.626 0.776
6 Y 0.183 0.781 0.387
7 Y 0.599 0.781 0.387
8 Y 0.445 0.890 0.726
9 Y 0.555 0.110 0.274
10 Y 0.817 0.219 0.613
11 Y 0.401 0.219 0.613
12 Y 0.984 0.374 0.224
13 Y 0.390 0.374 0.224
14 Y 0.167 0.334 0.870
15 Sc 0.244 0.489 0.549
16 Sc 0.354 0.709 0.060
17 Sc 0.000 0.000 0.500
18 Sc 0.646 0.291 0.940
19 Sc 0.756 0.511 0.451

Results
Space-group type   C2/m (12)
DFT formation energy   287 kJ/mol of formula units
VASP energy   -6.080 eV/atom
Fermi-level density of states   32.95 states/eV/f.u.